## Ba2HoMnS5 (GGA-PBE)

Data for a relaxed structure of Ba2HoMnS5.

Formation energy from raw total energies: -1.667 eV/atom
Space-group type: Cmc2_1 (36)
Calculated volume: 26.82 Å³/atom
Energy: -5.914 eV/atom
Fermi-level density of states: 0.351 states/eV/atom

Cell lengths 9.257, 9.257, 12.932 Å; angles 90.00, 90.00, 154.17 degrees
Fractional positions:
Ba: 0.125 0.875 0.500
Ba: 0.126 0.874 0.143
Ba: 0.874 0.126 0.643
Ba: 0.875 0.125 0.000
Ho: 0.200 0.800 0.838
Ho: 0.800 0.200 0.338
Mn: 0.440 0.560 0.236
Mn: 0.560 0.440 0.736
S: 0.041 0.959 0.812
S: 0.304 0.696 0.474
S: 0.315 0.685 0.190
S: 0.345 0.655 0.822
S: 0.498 0.502 0.084
S: 0.502 0.498 0.584
S: 0.655 0.345 0.322
S: 0.685 0.315 0.690
S: 0.696 0.304 0.974
S: 0.959 0.041 0.312



## BaHoMnS4 (GGA-PBE)

Data for a relaxed structure of BaHoMnS4.

Formation energy from raw total energies: -1.502 eV/atom
Space-group type: P2_1/m (11)
Calculated volume: 24.14 Å³/atom
Energy: -6.099 eV/atom
Fermi-level density of states: 0.331 states/eV/atom

Cell lengths 6.571, 6.292, 8.590 Å; angles 90.00, 107.90, 90.00 degrees
Fractional positions:
Ba: 0.242 0.250 0.439
Ba: 0.758 0.750 0.561
Ho: 0.262 0.250 0.944
Ho: 0.738 0.750 0.056
Mn: 0.268 0.750 0.173
Mn: 0.732 0.250 0.827
S: 0.060 0.750 0.913
S: 0.073 0.750 0.352
S: 0.487 0.508 0.785
S: 0.487 0.992 0.785
S: 0.513 0.008 0.215
S: 0.513 0.492 0.215
S: 0.927 0.250 0.648
S: 0.940 0.250 0.087



## BaHoMnTe4 (GGA-PBE)

Data for a relaxed structure of BaHoMnTe4.

Formation energy from raw total energies: -1.006 eV/atom
Space-group type: P2_1/m (11)
Calculated volume: 33.07 Å³/atom
Energy: -5.040 eV/atom
Fermi-level density of states: 0.206 states/eV/atom

Cell lengths 7.725, 6.517, 9.646 Å; angles 90.00, 107.54, 90.00 degrees
Fractional positions:
Ba: 0.244 0.250 0.058
Ba: 0.756 0.750 0.942
Ho: 0.270 0.250 0.562
Ho: 0.730 0.750 0.438
Mn: 0.261 0.750 0.323
Mn: 0.739 0.250 0.677
Te: 0.020 0.508 0.715
Te: 0.020 0.992 0.715
Te: 0.437 0.750 0.129
Te: 0.439 0.750 0.602
Te: 0.561 0.250 0.398
Te: 0.563 0.250 0.871
Te: 0.980 0.008 0.285
Te: 0.980 0.492 0.285



## BaHo2MoN4 (GGA-PBE)

Data for a relaxed structure of BaHo2MoN4.

Formation energy from raw total energies: -1.078 eV/atom
Space-group type: Cmcm (63)
Calculated volume: 16.33 Å³/atom
Energy: -7.980 eV/atom
Fermi-level density of states: 0.491 states/eV/atom

Cell lengths 6.435, 6.435, 12.094 Å; angles 90.00, 90.00, 148.56 degrees
Fractional positions:
Ba: 0.079 0.921 0.750
Ba: 0.921 0.079 0.250
Ho: 0.371 0.629 0.539
Ho: 0.371 0.629 0.961
Ho: 0.629 0.371 0.039
Ho: 0.629 0.371 0.461
Mo: 0.184 0.816 0.250
Mo: 0.816 0.184 0.750
N: 0.000 0.000 0.000
N: 0.000 0.000 0.500
N: 0.256 0.744 0.111
N: 0.256 0.744 0.389
N: 0.401 0.599 0.750
N: 0.599 0.401 0.250
N: 0.744 0.256 0.611
N: 0.744 0.256 0.889